A plane-wave DFT calculation with PBE was carried out for an optimized crystal structure of ThTePt.

Lattice parameters (Å, degrees): 3.9818 3.9818 21.9531 90.00 90.00 90.00
Space group I4/mmm (No. 139)
Symmetry-distinct sites (fractional):
Th1 0.0000 0.0000 0.1058 x4
Te1 0.0000 0.0000 0.3165 x4
Pt1 0.0000 0.0000 0.4434 x4

Properties
Energy above the most stable polymorph in this dataset in meV/atom: 221.5
Fermi-level density of states in states/eV/f.u.: 1.74
Energy relative to the elements, uncorrected in eV per atom: -0.9754

***

A plane-wave DFT calculation with PBE was carried out for an optimized crystal structure of EuCuSnRh.

Lattice parameters (Å, degrees): 6.7878 6.7878 6.7878 90.00 90.00 90.00
Space group F-43m (No. 216)
Symmetry-distinct sites (fractional):
Eu1 0.0000 0.0000 0.0000 x4
Cu1 0.2500 0.2500 0.7500 x4
Sn1 0.0000 0.0000 0.5000 x4
Rh1 0.2500 0.2500 0.2500 x4

Properties
Formation energy from the elements in eV per atom: -0.285
Fermi-level density of states in states/eV/f.u.: 10.45

***

A plane-wave DFT calculation with PBE was carried out for an optimized crystal structure of CsBiTeSe.

Lattice parameters (Å, degrees): 4.5002 4.5002 26.3320 90.00 90.00 120.00
Space group R3m (No. 160, hexagonal axes)
Symmetry-distinct sites (fractional):
Cs1 0.0000 0.0000 0.0000 x3
Bi1 0.0000 0.0000 0.1573 x3
Te1 0.0000 0.0000 0.5587 x3
Se1 0.0000 0.0000 0.7640 x3

Properties
Energy relative to the elements, uncorrected in eV per atom: -0.6866

***

A plane-wave DFT calculation with PBE was carried out for an optimized crystal structure of Ti2Fe3Si2.

Lattice parameters (Å, degrees): 3.9239 16.4921 2.8633 90.00 90.00 90.00
Space group Cmmm (No. 65)
Symmetry-distinct sites (fractional):
Ti1 0.0000 0.1493 0.0000 x4
Fe1 0.0000 0.0000 0.0000 x2
Fe2 0.0000 0.4323 0.5000 x4
Si1 0.0000 0.2916 0.5000 x4

Properties
Fermi-level density of states in states/eV/f.u.: 5.16
Energy relative to the elements, uncorrected in eV per atom: -0.2118

***

| no. | ρ (g cm⁻³) | DFT total energy (Ry/atom) |
| --- | --- | --- |
| 1 | 10.586 | -0.4784 |
| 2 | 9.284 | -0.4937 |
| 3 | 5.916 | -0.2592 |
| 4 | 5.725 | -0.5618 |